The following is a DFT calculation (GGA-PBE) of crystalline Zr5As at its relaxed geometry.

a = 10.483 Å, b = 3.412 Å, c = 7.667 Å
α = 90.00°, β = 101.67°, γ = 90.00°
Space group Cm (No. 8)
Inequivalent atoms, fractional coordinates:
Zr  0.000  0.000  0.000 x2
Zr  0.047  0.000  0.403 x2
Zr  0.183  0.500  0.778 x2
Zr  0.295  0.000  0.153 x2
Zr  0.397  0.000  0.667 x2
As  0.262  0.500  0.425 x2

Calculated values
The value obtained for the energy above the most stable polymorph in this dataset is 0.0122 eV per atom. The spin magnetization comes out at 0.000 μB per atom. As for the density of states at the Fermi level: 1.0873 states/eV/atom. The value obtained for the energy of formation from the pure elements is -0.316 eV per atom. As for the theoretical density: 6.57 g/cm³.